Entry 1:
## Ti3InCl (PBEsol)

Data for a relaxed structure of Ti3InCl.

Its total energy is -4.838 eV per atom. The energy relative to the elements, uncorrected comes out at 1153 meV/atom. The calculation puts the calculated volume at 135.6 Å³ per cell.

a = 5.137 Å, b = 5.137 Å, c = 5.137 Å
α = 90.00°, β = 90.00°, γ = 90.00°
Space group Pm-3m (No. 221)
One atom of each set of equivalent atoms:
Ti  0.000  0.000  0.500 [3 per cell]
In  0.000  0.000  0.000 [1 per cell]
Cl  0.500  0.500  0.500 [1 per cell]

Entry 2:
## TiIn2WCl (PBEsol)

Data for a relaxed structure of TiIn2WCl.

Its total energy is -4.979 eV per atom. The energy relative to the elements, uncorrected comes out at 1041 meV/atom. The calculation puts the calculated volume at 131.0 Å³ per cell.

a = 5.418 Å, b = 5.418 Å, c = 4.463 Å
α = 90.00°, β = 90.00°, γ = 90.00°
Space group P4/mmm (No. 123)
One atom of each set of equivalent atoms:
Ti  0.000  0.000  0.000 [1 per cell]
In  0.000  0.500  0.000 [2 per cell]
W  0.000  0.000  0.500 [1 per cell]
Cl  0.500  0.500  0.500 [1 per cell]

Entry 3:
## TlInCl2 (PBEsol)

Data for a relaxed structure of TlInCl2.

Its total energy is -3.108 eV per atom. The polymorph energy (0 for the lowest one) is 0.1421 eV per atom. The energy relative to the elements, uncorrected comes out at -701 meV/atom. The calculation puts the calculated volume at 673.0 Å³ per cell.

a = 7.076 Å, b = 7.076 Å, c = 13.442 Å
α = 90.00°, β = 90.00°, γ = 90.00°
Space group I-42d (No. 122)
One atom of each set of equivalent atoms:
Tl  0.000  0.000  0.000 [4 per cell]
In  0.000  0.000  0.500 [4 per cell]
Cl  0.245  0.250  0.625 [8 per cell]

Entry 4:
## TlInCl2 (PBEsol)

Data for a relaxed structure of TlInCl2.

Its total energy is -3.222 eV per atom. The polymorph energy (0 for the lowest one) is 0.0280 eV per atom. The energy relative to the elements, uncorrected comes out at -815 meV/atom. The calculation puts the calculated volume at 104.2 Å³ per cell.

a = 3.733 Å, b = 3.732 Å, c = 7.477 Å
α = 90.00°, β = 90.13°, γ = 90.00°
Space group P2/m (No. 10)
One atom of each set of equivalent atoms:
Tl  0.000  0.000  0.000 [1 per cell]
In  0.000  0.000  0.500 [1 per cell]
Cl  0.499  0.500  0.749 [2 per cell]

Entry 5:
## TlInCl2 (PBEsol)

Data for a relaxed structure of TlInCl2.

Its total energy is -3.226 eV per atom. The polymorph energy (0 for the lowest one) is 0.0240 eV per atom. The energy relative to the elements, uncorrected comes out at -819 meV/atom. The calculation puts the calculated volume at 116.6 Å³ per cell.

a = 4.253 Å, b = 4.253 Å, c = 6.445 Å
α = 90.00°, β = 90.00°, γ = 90.00°
Space group P4mm (No. 99)
One atom of each set of equivalent atoms:
Tl  0.000  0.000  0.000 [1 per cell]
In  0.500  0.500  0.443 [1 per cell]
Cl  0.000  0.000  0.532 [1 per cell]
Cl  0.500  0.500  0.872 [1 per cell]

Entry 6:
## TlInCl2 (PBEsol)

Data for a relaxed structure of TlInCl2.

Its total energy is -3.222 eV per atom. The polymorph energy (0 for the lowest one) is 0.0286 eV per atom. The energy relative to the elements, uncorrected comes out at -815 meV/atom. The calculation puts the calculated volume at 416.9 Å³ per cell.

a = 7.471 Å, b = 7.471 Å, c = 7.471 Å
α = 90.00°, β = 90.00°, γ = 90.00°
Space group Fm-3m (No. 225)
One atom of each set of equivalent atoms:
Tl  0.000  0.000  0.000 [4 per cell]
In  0.000  0.000  0.500 [4 per cell]
Cl  0.250  0.250  0.250 [8 per cell]

Entry 7:
## TlInCl2 (PBEsol)

Data for a relaxed structure of TlInCl2.

Its total energy is -3.216 eV per atom. The polymorph energy (0 for the lowest one) is 0.0346 eV per atom. The energy relative to the elements, uncorrected comes out at -809 meV/atom. The calculation puts the calculated volume at 370.4 Å³ per cell.

a = 4.4276 Å, b = 4.4276 Å, c = 21.8152 Å
α = 90.00°, β = 90.00°, γ = 120.00°
Space group R-3m (No. 166, hexagonal axes)
One atom of each set of equivalent atoms:
Tl  0.0000  0.0000  0.0000 [3 per cell]
In  0.0000  0.0000  0.5000 [3 per cell]
Cl  0.0000  0.0000  0.2491 [6 per cell]

Entry 8:
## TlInCl2 (PBEsol)

Data for a relaxed structure of TlInCl2.

Its total energy is -3.223 eV per atom. The polymorph energy (0 for the lowest one) is 0.0277 eV per atom. The energy relative to the elements, uncorrected comes out at -815 meV/atom. The calculation puts the calculated volume at 208.3 Å³ per cell.

a = 7.469 Å, b = 7.476 Å, c = 3.731 Å
α = 90.00°, β = 90.21°, γ = 90.00°
Space group C2/m (No. 12)
One atom of each set of equivalent atoms:
Tl  0.000  0.000  0.000 [2 per cell]
In  0.000  0.500  0.000 [2 per cell]
Cl  0.250  0.250  0.500 [4 per cell]

Entry 9:
## Tl2InCl (PBEsol)

Data for a relaxed structure of Tl2InCl.

Its total energy is -2.846 eV per atom. The energy relative to the elements, uncorrected comes out at -284 meV/atom. The calculation puts the calculated volume at 210.8 Å³ per cell.

a = 3.741 Å, b = 5.700 Å, c = 9.885 Å
α = 90.00°, β = 90.00°, γ = 90.00°
Space group Cmm2 (No. 35)
One atom of each set of equivalent atoms:
Tl  0.000  0.000  0.000 [2 per cell]
Tl  0.000  0.500  0.278 [2 per cell]
In  0.000  0.000  0.543 [2 per cell]
Cl  0.000  0.500  0.754 [2 per cell]

Entry 10:
## TlIn2Cl (PBEsol)

Data for a relaxed structure of TlIn2Cl.

Its total energy is -2.920 eV per atom. The energy relative to the elements, uncorrected comes out at -269 meV/atom. The calculation puts the calculated volume at 102.1 Å³ per cell.

a = 3.343 Å, b = 3.343 Å, c = 9.139 Å
α = 90.00°, β = 90.00°, γ = 90.00°
Space group P4mm (No. 99)
One atom of each set of equivalent atoms:
Tl  0.000  0.000  0.000 [1 per cell]
In  0.000  0.000  0.463 [1 per cell]
In  0.500  0.500  0.723 [1 per cell]
Cl  0.500  0.500  0.247 [1 per cell]

Entry 11:
## TlInCl2 (PBEsol)

Data for a relaxed structure of TlInCl2.

Its total energy is -3.250 eV per atom. The polymorph energy (0 for the lowest one) is 0.0000 eV per atom. The energy relative to the elements, uncorrected comes out at -843 meV/atom. The calculation puts the calculated volume at 223.4 Å³ per cell.

a = 4.447 Å, b = 4.213 Å, c = 11.923 Å
α = 90.00°, β = 90.00°, γ = 90.00°
Space group Amm2 (No. 38)
One atom of each set of equivalent atoms:
Tl  0.000  0.000  0.000 [2 per cell]
In  0.500  0.000  0.216 [2 per cell]
Cl  0.000  0.000  0.745 [2 per cell]
Cl  0.500  0.000  0.444 [2 per cell]

Entry 12:
## InWCl (PBEsol)

Data for a relaxed structure of InWCl.

Its total energy is -5.830 eV per atom. The polymorph energy (0 for the lowest one) is 0.0000 eV per atom. The energy relative to the elements, uncorrected comes out at 436 meV/atom. The calculation puts the calculated volume at 118.1 Å³ per cell.

a = 2.888 Å, b = 2.888 Å, c = 14.159 Å
α = 90.00°, β = 90.00°, γ = 90.00°
Space group I4mm (No. 107)
One atom of each set of equivalent atoms:
In  0.000  0.000  0.000 [2 per cell]
W  0.000  0.000  0.659 [2 per cell]
Cl  0.000  0.000  0.267 [2 per cell]

calculated volume of number 12 (InWCl)?
118.1 Å³ per cell

Number 11 is which compound?
TlInCl2

Number 2 is which compound?
TiIn2WCl